## VCdI2F (PBE+U)

Data for a geometry-optimized VCdI2F structure.

## Properties
Its density of states at the Fermi level is 3.56 states/eV/cell. As for the total energy: -2.125 eV per atom. For the density, the calculation gives 3.87 Mg/m³.

```
data_VCdI2F
_chemical_formula_sum 'V1 Cd1 I2 F1'
_cell_length_a 5.667
_cell_length_b 5.667
_cell_length_c 5.826
_cell_angle_alpha 90.00
_cell_angle_beta 90.00
_cell_angle_gamma 90.00
_symmetry_space_group_name_H-M 'P 4/m m m'
_symmetry_Int_Tables_number 123
_symmetry_space_group_name_Hall '-P 4 2'
loop_
_atom_site_label
_atom_site_type_symbol
_atom_site_fract_x
_atom_site_fract_y
_atom_site_fract_z
V1 V 0.000 0.000 0.000
Cd1 Cd 0.000 0.000 0.500
I1 I 0.000 0.500 0.500
F1 F 0.500 0.500 0.000
```